Li3MnSi6O15: optimized geometry, PBE+U.

```
Li3MnSi6O15
1.0
7.330 -8.669 0.000
7.330 8.669 0.000
0.000 0.000 9.903
Li Mn Si O
12 4 24 60
Cartesian
3.665 4.253 7.427
7.330 7.324 7.634
3.596 0.000 0.000
3.734 0.000 4.951
7.330 1.345 2.683
3.665 -4.253 2.476
10.996 4.253 7.427
7.330 -1.345 7.220
10.926 0.000 4.951
11.065 0.000 0.000
7.330 -7.324 2.269
10.996 -4.253 2.476
3.665 1.539 2.476
3.665 -1.539 7.427
10.996 1.539 2.476
10.996 -1.539 7.427
5.814 6.459 4.972
1.574 1.172 7.991
5.777 5.360 9.481
1.574 -1.172 1.912
5.777 3.309 4.530
8.846 6.459 4.972
5.814 2.210 0.021
8.884 5.360 9.481
5.757 1.172 6.863
8.884 3.309 4.530
5.757 -1.172 3.040
8.846 2.210 0.021
5.814 -2.210 9.882
8.904 1.172 6.863
5.777 -3.309 5.373
8.904 -1.172 3.040
5.777 -5.360 0.422
8.846 -2.210 9.882
5.814 -6.459 4.931
8.884 -3.309 5.373
13.087 1.172 7.991
8.884 -5.360 0.422
13.087 -1.172 1.912
8.846 -6.459 4.931
5.400 6.259 0.898
4.799 5.536 8.231
1.723 1.828 6.500
7.330 8.001 1.759
2.615 1.414 4.078
7.330 6.913 5.521
5.744 4.839 5.106
4.799 3.133 3.280
2.464 0.108 1.591
7.330 5.780 9.012
5.744 3.829 0.154
2.464 -0.108 8.312
1.723 -1.828 3.403
5.400 2.410 5.849
4.715 1.414 0.873
2.615 -1.414 5.825
9.260 6.259 0.898
5.607 1.828 8.355
4.867 0.108 3.360
8.917 4.839 5.106
7.330 2.888 4.060
4.867 -0.108 6.543
9.862 5.536 8.231
8.917 3.829 0.154
7.330 1.756 0.569
4.715 -1.414 9.030
7.330 0.668 6.710
5.607 -1.828 1.548
9.862 3.133 3.280
9.260 2.410 5.849
5.400 -2.410 4.054
4.799 -3.133 6.623
9.054 1.828 8.355
7.330 -0.668 3.193
9.945 1.414 0.873
7.330 -1.756 9.334
5.744 -3.829 9.749
4.799 -5.536 1.672
9.794 0.108 3.360
7.330 -2.888 5.843
5.744 -4.839 4.797
9.794 -0.108 6.543
9.054 -1.828 1.548
5.400 -6.259 9.005
12.046 1.414 4.078
9.945 -1.414 9.030
9.260 -2.410 4.054
12.938 1.828 6.500
12.197 0.108 1.591
8.917 -3.829 9.749
7.330 -5.780 0.891
12.197 -0.108 8.312
9.862 -3.133 6.623
8.917 -4.839 4.797
7.330 -6.913 4.382
12.046 -1.414 5.825
7.330 -8.001 8.144
12.938 -1.828 3.403
9.862 -5.536 1.672
9.260 -6.259 9.005
```

Summary:
Space-group type: No. 64
DFT total energy (eV/atom): -7.3475